TaBO2, optimized geometry, DFT PBE; SG = No. 122; VASP energy = -60.1 eV for the cell shown; ΔE_f (raw) = -0.406 eV per atom
1.0
-2.553 -4.571 -1.310
-1.034 -0.918 5.217
-6.122 -0.209 1.542
O B Ta
4 2 2
direct
0.875 0.049 0.750
0.799 0.125 0.250
0.951 0.625 0.250
0.375 0.201 0.750
0.500 0.500 0.000
0.250 0.750 0.500
0.000 0.000 0.000
0.750 0.250 0.500